# 1
Here is BaTlIn2 after structural relaxation from Alexandria. Energies are from PBE.

Cell: 11.447 11.447 11.447 Å, 153.21 153.21 38.24°
Positions (direct):
Ba1 0.000 0.000 0.000
Ba2 0.750 0.250 0.500
Tl1 0.250 0.750 0.500
Tl2 0.500 0.500 0.000
In1 0.249 0.625 0.124
In2 0.375 0.499 0.624
In3 0.501 0.125 0.876
In4 0.875 0.751 0.376

Values from the calculation:
Energy above the lowest structure with this stoichiometry (meV per atom): 181.3

# 2
Here is Ba12Tl6In after structural relaxation from Alexandria. Energies are from PBE.

Cell: 10.293 10.293 10.293 Å, 100.52 100.52 100.52°
Positions (direct):
Ba1 0.062 0.678 0.938
Ba2 0.062 0.938 0.322
Ba3 0.176 0.428 0.576
Ba4 0.322 0.062 0.938
Ba5 0.424 0.824 0.572
Ba6 0.428 0.576 0.176
Ba7 0.572 0.424 0.824
Ba8 0.576 0.176 0.428
Ba9 0.678 0.938 0.062
Ba10 0.824 0.572 0.424
Ba11 0.938 0.062 0.678
Ba12 0.938 0.322 0.062
Tl1 0.139 0.613 0.302
Tl2 0.302 0.139 0.613
Tl3 0.387 0.698 0.861
Tl4 0.613 0.302 0.139
Tl5 0.698 0.861 0.387
Tl6 0.861 0.387 0.698
In1 0.000 0.000 0.000

# 3
Here is Ba2Tl12In after structural relaxation from Alexandria. Energies are from PBE.

Cell: 7.347 7.347 19.066 Å, 90.00 90.00 90.00°
Positions (direct):
Ba1 0.250 0.750 0.247
Ba2 0.250 0.750 0.753
Ba3 0.750 0.250 0.247
Ba4 0.750 0.250 0.753
Tl1 0.000 0.000 0.093
Tl2 0.000 0.000 0.907
Tl3 0.000 0.500 0.093
Tl4 0.000 0.500 0.907
Tl5 0.086 0.586 0.432
Tl6 0.086 0.914 0.568
Tl7 0.250 0.250 0.189
Tl8 0.250 0.250 0.347
Tl9 0.250 0.250 0.653
Tl10 0.250 0.250 0.811
Tl11 0.414 0.586 0.568
Tl12 0.414 0.914 0.432
Tl13 0.500 0.000 0.093
Tl14 0.500 0.000 0.907
Tl15 0.500 0.500 0.093
Tl16 0.500 0.500 0.907
Tl17 0.586 0.086 0.568
Tl18 0.586 0.414 0.432
Tl19 0.750 0.750 0.189
Tl20 0.750 0.750 0.347
Tl21 0.750 0.750 0.653
Tl22 0.750 0.750 0.811
Tl23 0.914 0.086 0.432
Tl24 0.914 0.414 0.568
In1 0.250 0.750 0.000
In2 0.750 0.250 0.000

# 4
Here is Ba2Tl3In after structural relaxation from Alexandria. Energies are from PBE.

Cell: 6.774 6.774 8.630 Å, 129.24 129.24 47.18°
Positions (direct):
Ba1 0.000 0.000 0.000
Ba2 0.087 0.087 0.586
Tl1 0.378 0.378 0.561
Tl2 0.384 0.384 0.188
Tl3 0.706 0.706 0.026
In1 0.708 0.708 0.398

Values from the calculation:
Energy above the lowest structure with this stoichiometry (meV per atom): 0.0

# 5
Here is BaTlIn4 after structural relaxation from Alexandria. Energies are from PBE.

Cell: 6.407 6.407 6.407 Å, 60.00 60.00 60.00°
Positions (direct):
Ba1 0.000 0.000 0.000
Tl1 0.250 0.250 0.250
In1 0.127 0.624 0.624
In2 0.624 0.127 0.624
In3 0.624 0.624 0.127
In4 0.624 0.624 0.624

Values from the calculation:
Energy above the lowest structure with this stoichiometry (meV per atom): 0.0

# 6
Here is Ba2TlIn2 after structural relaxation from Alexandria. Energies are from PBE.

Cell: 6.628 6.628 6.628 Å, 117.15 117.15 95.02°
Positions (direct):
Ba1 0.250 0.750 0.500
Ba2 0.750 0.250 0.500
Tl1 0.000 0.000 0.000
In1 0.345 0.345 0.000
In2 0.655 0.655 0.000

Values from the calculation:
Energy above the lowest structure with this stoichiometry (meV per atom): 271.2

# 7
Here is Ba6TlIn after structural relaxation from Alexandria. Energies are from PBE.

Cell: 11.867 11.867 11.867 Å, 150.06 150.06 42.85°
Positions (direct):
Ba1 0.092 0.592 0.500
Ba2 0.250 0.250 0.000
Ba3 0.408 0.908 0.500
Ba4 0.592 0.092 0.500
Ba5 0.750 0.750 0.000
Ba6 0.908 0.408 0.500
Tl1 0.000 0.000 0.000
In1 0.500 0.500 0.000

Values from the calculation:
Energy above the lowest structure with this stoichiometry (meV per atom): 0.0

# 8
Here is BaTlIn3 after structural relaxation from Alexandria. Energies are from PBE.

Cell: 7.524 7.524 6.899 Å, 90.00 90.00 120.00°
Positions (direct):
Ba1 0.333 0.667 0.250
Ba2 0.667 0.333 0.750
Tl1 0.000 0.000 0.000
Tl2 0.000 0.000 0.500
In1 0.200 0.399 0.750
In2 0.200 0.800 0.750
In3 0.399 0.200 0.250
In4 0.601 0.800 0.750
In5 0.800 0.200 0.250
In6 0.800 0.601 0.250

Values from the calculation:
Energy above the lowest structure with this stoichiometry (meV per atom): 165.9

Number 1: ΔH_f (0 K) -0.137 eV per atom, total magnetic moment 0.00 μB per formula unit. Number 2: ΔH_f (0 K) -0.148 eV per atom, total magnetic moment 0.00 μB per formula unit. Number 3: ΔH_f (0 K) -0.098 eV per atom, total magnetic moment 0.00 μB per formula unit. Number 4: ΔH_f (0 K) -0.399 eV per atom, total magnetic moment 0.00 μB per formula unit. Number 5: ΔH_f (0 K) -0.203 eV per atom, total magnetic moment 0.00 μB per formula unit. Number 6: ΔH_f (0 K) -0.140 eV per atom, total magnetic moment 0.00 μB per formula unit. Number 7: ΔH_f (0 K) -0.207 eV per atom, total magnetic moment 0.00 μB per formula unit. Number 8: ΔH_f (0 K) -0.149 eV per atom, total magnetic moment 0.00 μB per formula unit.